<1>
Here is a geometry-optimized TaV2Ge2 structure from the Alexandria database. Energies are from GGA-PBE.

V: 15.299 A^3/atom
Total magnetic moment: 0.00 μB per formula unit

Unit cell a=4.2240 b=4.2240 c=5.5118 alpha=67.56 beta=67.56 gamma=60.07
Element x y z (fractional)
V1 0.8186 0.3186 0.5445
Ge1 0.4140 0.9140 0.7586
V2 0.1814 0.6814 0.4555
Ge2 0.5860 0.0860 0.2414
Ta1 0.0000 0.5000 0.0000

---

<2>
Here is a geometry-optimized TaV2Ge2 structure from the Alexandria database. Energies are from GGA-PBE.

V: 15.038 A^3/atom
Total magnetic moment: 0.00 μB per formula unit

Unit cell a=6.8037 b=6.8037 c=3.2486 alpha=90.00 beta=90.00 gamma=90.00
Element x y z (fractional)
V1 0.1621 0.6621 0.5000
Ta1 0.5000 0.5000 0.0000
Ge1 0.8646 0.6354 0.0000
Ge2 0.6354 0.1354 0.0000
V2 0.8379 0.3379 0.5000
V3 0.6621 0.8379 0.5000
V4 0.3379 0.1621 0.5000
Ta2 0.0000 0.0000 0.0000
Ge3 0.3646 0.8646 0.0000
Ge4 0.1354 0.3646 0.0000

---

On energetic grounds, <2> is preferred over the next structure by 12.4 kJ/mol of atoms.

---

<1>
Here is a geometry-optimized TaGe3W structure from the Alexandria database. Energies are from GGA-PBE.

V: 22.369 A^3/atom
Total magnetic moment: 0.00 μB per formula unit

Unit cell a=4.8181 b=4.8181 c=4.8181 alpha=90.00 beta=90.00 gamma=90.00
Element x y z (fractional)
Ge1 0.0000 0.0000 0.5000
Ge2 0.0000 0.5000 0.0000
Ge3 0.5000 0.0000 0.0000
W1 0.0000 0.0000 0.0000
Ta1 0.5000 0.5000 0.5000

---

<2>
Here is a geometry-optimized TaGe3W structure from the Alexandria database. Energies are from GGA-PBE.

V: 24.519 A^3/atom
Total magnetic moment: 4.42 μB per formula unit

Unit cell a=4.9677 b=4.9677 c=4.9677 alpha=90.00 beta=90.00 gamma=90.00
Site moments in Bohr magnetons follow the coordinates.
Element x y z (fractional)
Ge1 0.5000 0.0000 0.0000  0.05
W1 0.5000 0.5000 0.5000  3.11
Ge2 0.0000 0.0000 0.5000  0.02
Ge3 0.0000 0.5000 0.0000  0.03
Ta1 0.0000 0.0000 0.0000  0.03

---

On energetic grounds, <1> is preferred over the next structure by 17.5 kJ/mol of atoms.

---

<1>
Here is a geometry-optimized YTa2Ge2 structure from the Alexandria database. Energies are from GGA-PBE.

V: 19.691 A^3/atom
Total magnetic moment: 0.00 μB per formula unit

Unit cell a=4.0422 b=4.0422 c=6.6693 alpha=72.36 beta=72.36 gamma=90.00
Element x y z (fractional)
Ge1 0.3969 0.3969 0.2063
Y1 0.0000 0.0000 0.0000
Ta1 0.7500 0.2500 0.5000
Ta2 0.2500 0.7500 0.5000
Ge2 0.6031 0.6031 0.7937

---

<2>
Here is a geometry-optimized YTa2Ge2 structure from the Alexandria database. Energies are from GGA-PBE.

V: 18.748 A^3/atom
Total magnetic moment: 0.00 μB per formula unit

Unit cell a=7.3245 b=7.3245 c=3.4947 alpha=90.00 beta=90.00 gamma=90.00
Element x y z (fractional)
Ta1 0.1586 0.6586 0.5000
Ge1 0.3676 0.8676 0.0000
Ta2 0.6586 0.8414 0.5000
Ge2 0.8676 0.6324 0.0000
Y1 0.0000 0.0000 0.0000
Y2 0.5000 0.5000 0.0000
Ta3 0.8414 0.3414 0.5000
Ta4 0.3414 0.1586 0.5000
Ge3 0.1324 0.3676 0.0000
Ge4 0.6324 0.1324 0.0000

---

<3>
Here is a geometry-optimized YTa2Ge2 structure from the Alexandria database. Energies are from GGA-PBE.

V: 21.175 A^3/atom
Total magnetic moment: 0.00 μB per formula unit

Unit cell a=4.9322 b=4.9322 c=5.5773 alpha=63.76 beta=63.76 gamma=90.00
Element x y z (fractional)
Ge1 0.2500 0.7500 0.5000
Ta1 0.3501 0.3501 0.2998
Ge2 0.7500 0.2500 0.5000
Ta2 0.6499 0.6499 0.7002
Y1 0.0000 0.0000 0.0000

---

On energetic grounds, <1> is preferred over the next structure by 21.7 kJ/mol of atoms.

---

<1>
Here is a geometry-optimized Zr3TaGe structure from the Alexandria database. Energies are from GGA-PBE.

V: 26.515 A^3/atom
Total magnetic moment: 0.01 μB per formula unit

Unit cell a=5.0990 b=5.0990 c=5.0990 alpha=90.00 beta=90.00 gamma=90.00
Element x y z (fractional)
Ta1 0.0000 0.0000 0.0000
Zr1 0.5000 0.0000 0.0000
Ge1 0.5000 0.5000 0.5000
Zr2 0.0000 0.0000 0.5000
Zr3 0.0000 0.5000 0.0000

---

<2>
Here is a geometry-optimized Zr3TaGe structure from the Alexandria database. Energies are from GGA-PBE.

V: 24.520 A^3/atom
Total magnetic moment: 0.00 μB per formula unit

Unit cell a=4.9678 b=4.9678 c=4.9678 alpha=90.00 beta=90.00 gamma=90.00
Element x y z (fractional)
Ge1 0.0000 0.0000 0.0000
Zr1 0.5000 0.0000 0.0000
Zr2 0.0000 0.5000 0.0000
Ta1 0.5000 0.5000 0.5000
Zr3 0.0000 0.0000 0.5000

---

On energetic grounds, <2> is preferred over the next structure by 36.9 kJ/mol of atoms.